i | The following is a DFT calculation (PBE+U) of MgMn8O8F8 after structural relaxation.

abc: 4.819 4.877 12.593
angles: 89.61 89.79 89.70
Space group P1 (No. 1)
Inequivalent atoms, fractional coordinates:
1 Mg 0.000 0.000 0.000 x1
2 Mn 0.005 0.425 0.743 x1
3 Mn 0.012 0.431 0.255 x1
4 Mn 0.072 0.486 0.497 x1
5 Mn 0.333 0.468 0.001 x1
6 Mn 0.496 0.003 0.860 x1
7 Mn 0.499 0.992 0.619 x1
8 Mn 0.514 0.004 0.144 x1
9 Mn 0.573 0.931 0.381 x1
10 O 0.187 0.246 0.881 x1
11 O 0.199 0.253 0.131 x1
12 O 0.218 0.274 0.610 x1
13 O 0.370 0.772 0.498 x1
14 O 0.382 0.861 0.004 x1
15 O 0.653 0.172 0.742 x1
16 O 0.711 0.153 0.260 x1
17 O 0.874 0.652 0.374 x1
18 F 0.255 0.220 0.373 x1
19 F 0.308 0.744 0.752 x1
20 F 0.337 0.710 0.247 x1
21 F 0.717 0.275 0.014 x1
22 F 0.759 0.198 0.496 x1
23 F 0.817 0.707 0.625 x1
24 F 0.830 0.771 0.886 x1
25 F 0.846 0.760 0.117 x1

Properties
density of states at the Fermi level = 2.43 states/eV/cell

ii | The following is a DFT calculation (PBE+U) of MgMn8O8F8 after structural relaxation.

abc: 4.800 4.947 12.467
angles: 88.10 89.08 88.79
Space group P1 (No. 1)
Inequivalent atoms, fractional coordinates:
1 Mg 0.000 0.000 0.000 x1
2 Mn 0.014 0.441 0.739 x1
3 Mn 0.028 0.480 0.256 x1
4 Mn 0.464 0.949 0.138 x1
5 Mn 0.528 0.011 0.862 x1
6 Mn 0.530 0.045 0.377 x1
7 Mn 0.536 0.027 0.616 x1
8 Mn 0.934 0.509 0.001 x1
9 Mn 0.969 0.528 0.496 x1
10 O 0.126 0.702 0.114 x1
11 O 0.328 0.205 0.253 x1
12 O 0.353 0.190 0.742 x1
13 O 0.653 0.802 0.994 x1
14 O 0.687 0.836 0.494 x1
15 O 0.812 0.315 0.609 x1
16 O 0.824 0.330 0.377 x1
17 O 0.838 0.272 0.886 x1
18 F 0.172 0.768 0.885 x1
19 F 0.191 0.713 0.615 x1
20 F 0.198 0.729 0.379 x1
21 F 0.294 0.245 0.495 x1
22 F 0.305 0.241 0.003 x1
23 F 0.705 0.767 0.257 x1
24 F 0.713 0.769 0.747 x1
25 F 0.825 0.223 0.119 x1

Properties
density of states at the Fermi level = 1.03 states/eV/cell

Of them, the most stable is i and the least stable is ii.

i | The following is a DFT calculation (PBE+U) of MgMo3F after structural relaxation.

abc: 4.304 4.304 4.304
angles: 90.00 90.00 90.00
Space group Pm-3m (No. 221)
Inequivalent atoms, fractional coordinates:
1 Mg 0.000 0.000 0.000 x1
2 Mo 0.000 0.500 0.500 x3
3 F 0.500 0.500 0.500 x1

Properties
density of states at the Fermi level = 2.92 states/eV/cell

ii | The following is a DFT calculation (PBE+U) of MgMo3F after structural relaxation.

abc: 5.432 5.432 5.432
angles: 90.00 90.00 90.00
Space group Pm-3m (No. 221)
Inequivalent atoms, fractional coordinates:
1 Mg 0.000 0.000 0.000 x1
2 Mo 0.000 0.000 0.500 x3
3 F 0.500 0.500 0.500 x1

Properties
density of states at the Fermi level = 2.21 states/eV/cell

Of them, the most stable is i and the least stable is ii.